[1]
# YFe2Ru, optimized geometry, DFT PBE-GGA
# * M_tot: 0.0 μB/f.u.
# * electronic total energy: -7.585 eV per atom
data_YFe2Ru
_chemical_formula_sum 'Y4 Fe8 Ru4'
_cell_length_a 7.001
_cell_length_b 7.001
_cell_length_c 5.513
_cell_angle_alpha 90.00
_cell_angle_beta 90.00
_cell_angle_gamma 90.00
_symmetry_space_group_name_H-M 'I -4 2 d'
_symmetry_Int_Tables_number 122
_symmetry_space_group_name_Hall 'I -4 2bw'
loop_
_atom_site_label
_atom_site_fract_x
_atom_site_fract_y
_atom_site_fract_z
Y1 0.000 0.000 0.000
Fe1 0.191 0.750 0.625
Ru1 0.000 0.000 0.500

***

[2]
# DyScZn, optimized geometry, DFT PBE-GGA
# * M_tot: 0.0 μB/f.u.
# * excess energy over the best structure of this formula in the dataset: 0.000 eV/f.u.
# * electronic total energy: -4.273 eV per atom
data_DyScZn
_chemical_formula_sum 'Dy2 Sc2 Zn2'
_cell_length_a 3.450
_cell_length_b 3.450
_cell_length_c 11.767
_cell_angle_alpha 90.00
_cell_angle_beta 90.00
_cell_angle_gamma 90.00
_symmetry_space_group_name_H-M 'I 4 m m'
_symmetry_Int_Tables_number 107
_symmetry_space_group_name_Hall 'I 4 -2'
loop_
_atom_site_label
_atom_site_fract_x
_atom_site_fract_y
_atom_site_fract_z
Dy1 0.000 0.000 0.000
Sc1 0.000 0.000 0.291
Zn1 0.000 0.000 0.663

***

[3]
# HfSc2I, optimized geometry, DFT PBE-GGA
# * M_tot: 0.0 μB/f.u.
# * excess energy over the best structure of this formula in the dataset: 0.000 eV/f.u.
# * E_form (uncorrected): -0.1775 eV/atom
# * electronic total energy: -6.219 eV per atom
data_HfSc2I
_chemical_formula_sum 'Hf3 Sc6 I3'
_cell_length_a 3.4939
_cell_length_b 3.4939
_cell_length_c 28.4166
_cell_angle_alpha 90.00
_cell_angle_beta 90.00
_cell_angle_gamma 120.00
_symmetry_space_group_name_H-M 'R -3 m'
_symmetry_Int_Tables_number 166
_symmetry_space_group_name_Hall '-R 3 2"'
loop_
_atom_site_label
_atom_site_fract_x
_atom_site_fract_y
_atom_site_fract_z
Hf1 0.0000 0.0000 0.0000
Sc1 0.0000 0.0000 0.2489
I1 0.0000 0.0000 0.5000

***

[4]
# Ba2LiSbPd6, optimized geometry, DFT PBE-GGA
# * M_tot: 0.0 μB/f.u.
# * E_form (uncorrected): -0.4717 eV/atom
# * electronic total energy: -4.576 eV per atom
data_Ba2LiSbPd6
_chemical_formula_sum 'Ba4 Li2 Sb2 Pd12'
_cell_length_a 11.875
_cell_length_b 6.862
_cell_length_c 6.880
_cell_angle_alpha 90.00
_cell_angle_beta 125.16
_cell_angle_gamma 90.00
_symmetry_space_group_name_H-M 'C 1 2/m 1'
_symmetry_Int_Tables_number 12
_symmetry_space_group_name_Hall '-C 2y'
loop_
_atom_site_label
_atom_site_fract_x
_atom_site_fract_y
_atom_site_fract_z
Ba1 0.210 0.000 0.289
Li1 0.000 0.000 0.500
Sb1 0.000 0.500 0.000
Pd1 0.053 0.293 0.739
Pd2 0.240 0.000 0.847

***

[5]
# Er7Tm12Sc, optimized geometry, DFT PBE-GGA
# * M_tot: 0.0 μB/f.u.
# * excess energy over the best structure of this formula in the dataset: 1.728 eV/f.u.
# * electronic total energy: -4.267 eV per atom
data_Er7Tm12Sc
_chemical_formula_sum 'Er21 Tm36 Sc3'
_cell_length_a 18.3383
_cell_length_b 18.3383
_cell_length_c 6.5329
_cell_angle_alpha 90.00
_cell_angle_beta 90.00
_cell_angle_gamma 120.00
_symmetry_space_group_name_H-M 'R -3'
_symmetry_Int_Tables_number 148
_symmetry_space_group_name_Hall '-R 3'
loop_
_atom_site_label
_atom_site_fract_x
_atom_site_fract_y
_atom_site_fract_z
Er1 0.0000 0.0000 0.0000
Er2 0.0118 0.1552 0.2998
Tm1 0.0001 0.2118 0.7988
Tm2 0.0089 0.5363 0.2364
Sc1 0.0000 0.0000 0.5000

***

[6]
# Li2HgSI, optimized geometry, DFT PBE-GGA
# * M_tot: 0.0 μB/f.u.
# * E_form (uncorrected): -0.7725 eV/atom
# * electronic total energy: -2.734 eV per atom
data_Li2HgSI
_chemical_formula_sum 'Li2 Hg1 S1 I1'
_cell_length_a 4.959
_cell_length_b 4.959
_cell_length_c 5.252
_cell_angle_alpha 90.00
_cell_angle_beta 90.00
_cell_angle_gamma 90.00
_symmetry_space_group_name_H-M 'P 4/m m m'
_symmetry_Int_Tables_number 123
_symmetry_space_group_name_Hall '-P 4 2'
loop_
_atom_site_label
_atom_site_fract_x
_atom_site_fract_y
_atom_site_fract_z
Li1 0.000 0.500 0.000
Hg1 0.000 0.000 0.500
S1 0.000 0.000 0.000
I1 0.500 0.500 0.500

***

> electronic total energy of number 2 (DyScZn)?

-4.273 eV per atom

***

> Look up the M_tot of the sixth one.

0.0 μB/f.u.

***

> Which value of M_tot does entry 3 give?

0.0 μB/f.u.

***

Repeat the fourth record exactly.
# Ba2LiSbPd6, optimized geometry, DFT PBE-GGA
# * M_tot: 0.0 μB/f.u.
# * E_form (uncorrected): -0.4717 eV/atom
# * electronic total energy: -4.576 eV per atom
data_Ba2LiSbPd6
_chemical_formula_sum 'Ba4 Li2 Sb2 Pd12'
_cell_length_a 11.875
_cell_length_b 6.862
_cell_length_c 6.880
_cell_angle_alpha 90.00
_cell_angle_beta 125.16
_cell_angle_gamma 90.00
_symmetry_space_group_name_H-M 'C 1 2/m 1'
_symmetry_Int_Tables_number 12
_symmetry_space_group_name_Hall '-C 2y'
loop_
_atom_site_label
_atom_site_fract_x
_atom_site_fract_y
_atom_site_fract_z
Ba1 0.210 0.000 0.289
Li1 0.000 0.000 0.500
Sb1 0.000 0.500 0.000
Pd1 0.053 0.293 0.739
Pd2 0.240 0.000 0.847